(i)
ErTeBr | GGA-PBE | optimized geometry

Properties
Total moment   0.00 μB/cell

Cell lengths 4.128, 4.128, 23.623 Å; angles 90.00, 90.00, 90.00 degrees
Space group I-4m2 (No. 119)
One atom of each set of equivalent atoms:
Er  0.000  0.000  0.158
Te  0.000  0.000  0.296
Br  0.000  0.500  0.074

(ii)
ErTeBr | GGA-PBE | optimized geometry

Properties
Total moment   0.00 μB/cell

Cell lengths 7.231, 4.258, 7.245 Å; angles 90.00, 94.40, 90.00 degrees
Space group P2/m (No. 10)
One atom of each set of equivalent atoms:
Er  0.000  0.000  0.000
Er  0.500  0.500  0.000
Te  0.190  0.500  0.244
Br  0.324  0.000  0.781

(iii)
ErTeBr | GGA-PBE | optimized geometry

Properties
Total moment   0.00 μB/cell

Cell lengths 4.008, 6.447, 13.531 Å; angles 90.00, 90.00, 90.00 degrees
Space group Immm (No. 71)
One atom of each set of equivalent atoms:
Er  0.000  0.000  0.138
Te  0.000  0.500  0.202
Br  0.000  0.258  0.500

(iv)
ErTeBr | GGA-PBE | optimized geometry

Properties
Total moment   0.00 μB/cell

Cell lengths 4.2458, 4.2458, 7.2437 Å; angles 90.00, 90.00, 120.00 degrees
Space group P3m1 (No. 156)
One atom of each set of equivalent atoms:
Er  0.0000  0.0000  0.0000
Te  0.3333  0.6667  0.7711
Br  0.6667  0.3333  0.2342

Q: Which of them is the most stable? A: (iv).

(i)
ErTmBr | GGA-PBE | optimized geometry

Properties
Total moment   0.12 μB/cell

Cell lengths 3.6698, 3.6698, 7.1945 Å; angles 90.00, 90.00, 120.00 degrees
Space group P3m1 (No. 156)
One atom of each set of equivalent atoms:
Er  0.0000  0.0000  0.0000
Tm  0.6667  0.3333  0.3598
Br  0.3333  0.6667  0.6791

(ii)
ErTmBr | GGA-PBE | optimized geometry

Properties
Total moment   0.00 μB/cell

Cell lengths 3.606, 6.247, 7.666 Å; angles 105.69, 90.08, 90.03 degrees
Space group P-1 (No. 2)
One atom of each set of equivalent atoms:
Er  0.249  0.023  0.319
Tm  0.251  0.477  0.680
Br  0.250  0.251  0.000

Q: Which of them is the most stable? A: (i).

(i)
Eu2GaBr | GGA-PBE | optimized geometry

Properties
Total moment   14.18 μB/cell

Cell lengths 3.682, 3.682, 8.378 Å; angles 90.00, 90.00, 90.00 degrees
Space group P4/mmm (No. 123)
One atom of each set of equivalent atoms:
Eu  0.000  0.000  0.229
Ga  0.500  0.500  0.000
Br  0.500  0.500  0.500

(ii)
Eu2GaBr | GGA-PBE | optimized geometry

Properties
Total moment   43.05 μB/cell

Cell lengths 4.2058, 4.2058, 24.4538 Å; angles 90.00, 90.00, 120.00 degrees
Space group R-3m (No. 166, hexagonal axes)
One atom of each set of equivalent atoms:
Eu  0.0000  0.0000  0.2464
Ga  0.0000  0.0000  0.5000
Br  0.0000  0.0000  0.0000

Q: Which of them is the most stable? A: (ii).

(i)
Eu2HoBr | GGA-PBE | optimized geometry

Properties
Total moment   46.24 μB/cell

Cell lengths 3.8382, 3.8382, 32.0377 Å; angles 90.00, 90.00, 120.00 degrees
Space group R-3m (No. 166, hexagonal axes)
One atom of each set of equivalent atoms:
Eu  0.0000  0.0000  0.2400
Ho  0.0000  0.0000  0.0000
Br  0.0000  0.0000  0.5000

(ii)
Eu2HoBr | GGA-PBE | optimized geometry

Properties
Total moment   14.91 μB/cell

Cell lengths 3.682, 3.682, 10.006 Å; angles 90.00, 90.00, 90.00 degrees
Space group P4/mmm (No. 123)
One atom of each set of equivalent atoms:
Eu  0.000  0.000  0.225
Ho  0.500  0.500  0.500
Br  0.500  0.500  0.000

Q: Which of them is the most stable? A: (i).

(i)
EuIBr | GGA-PBE | optimized geometry

Properties
Total moment   28.00 μB/cell

Cell lengths 7.703, 7.703, 7.703 Å; angles 90.00, 90.00, 90.00 degrees
Space group F-43m (No. 216)
One atom of each set of equivalent atoms:
Eu  0.000  0.000  0.000
I  0.250  0.250  0.250
Br  0.250  0.250  0.750

(ii)
EuIBr | GGA-PBE | optimized geometry

Properties
Total moment   7.00 μB/cell

Cell lengths 4.6152, 4.6152, 7.1874 Å; angles 90.00, 90.00, 120.00 degrees
Space group P3m1 (No. 156)
One atom of each set of equivalent atoms:
Eu  0.0000  0.0000  0.0000
I  0.3333  0.6667  0.7379
Br  0.6667  0.3333  0.2084

(iii)
EuIBr | GGA-PBE | optimized geometry

Properties
Total moment   28.00 μB/cell

Cell lengths 8.454, 4.809, 9.796 Å; angles 90.00, 90.00, 90.00 degrees
Space group Pnma (No. 62)
One atom of each set of equivalent atoms:
Eu  0.226  0.250  0.128
I  0.027  0.750  0.333
Br  0.145  0.750  0.935

Q: Which of them is the most stable? A: (ii).

(i)
Eu2IrBr | GGA-PBE | optimized geometry

Properties
Total moment   13.76 μB/cell

Cell lengths 3.581, 3.581, 7.947 Å; angles 90.00, 90.00, 90.00 degrees
Space group P4/mmm (No. 123)
One atom of each set of equivalent atoms:
Eu  0.000  0.000  0.214
Ir  0.500  0.500  0.000
Br  0.500  0.500  0.500

(ii)
Eu2IrBr | GGA-PBE | optimized geometry

Properties
Total moment   41.61 μB/cell

Cell lengths 4.1918, 4.1918, 22.8249 Å; angles 90.00, 90.00, 120.00 degrees
Space group R-3m (No. 166, hexagonal axes)
One atom of each set of equivalent atoms:
Eu  0.0000  0.0000  0.2354
Ir  0.0000  0.0000  0.5000
Br  0.0000  0.0000  0.0000

Q: Which of them is the most stable? A: (ii).